*1*
FeMoN | PBE-GGA | relaxed

Lattice parameters (Å, degrees): 5.3669 5.3669 5.3669 90.00 90.00 90.00
With the nearest neighbours (Å) after each atom.
Sites, in units of the cell vectors:
Fe1 0.1396 0.1396 0.1396  1 N 1.85
Fe2 0.3604 0.8604 0.6396  1 N 1.85
Fe3 0.6396 0.3604 0.8604  1 N 1.85
Fe4 0.8604 0.6396 0.3604  1 N 1.85
Mo1 0.1527 0.3473 0.6527  3 N 1.96
Mo2 0.3473 0.6527 0.1527  3 N 1.96
Mo3 0.6527 0.1527 0.3473  3 N 1.96
Mo4 0.8473 0.8473 0.8473  3 N 1.96
N1 0.1618 0.6618 0.8382  1 Fe 1.85, 3 Mo 1.96
N2 0.3382 0.3382 0.3382  1 Fe 1.85, 3 Mo 1.96
N3 0.6618 0.8382 0.1618  1 Fe 1.85, 3 Mo 1.96
N4 0.8382 0.1618 0.6618  1 Fe 1.85, 3 Mo 1.96

M_tot = 0.743 μB per atom
Crystal system = cubic
SG = No. 198

=====

*2*
FeMoN | PBE-GGA | relaxed

Lattice parameters (Å, degrees): 3.5152 3.5152 2.8729 90.00 90.00 120.00
With the nearest neighbours (Å) after each atom.
Sites, in units of the cell vectors:
Fe1 0.0000 0.0000 0.0000  3 N 2.03
Mo1 0.3333 0.6667 0.5000  6 Fe 2.49, 6 N 2.49
N1 0.6667 0.3333 0.0000  3 Fe 2.03

M_tot = 0.090 μB per atom
Crystal system = hexagonal
SG = No. 187

=====

Of them, *2* has the lowest stability.

=====

*1*
FeMoS2N | PBE-GGA | relaxed

Lattice parameters (Å, degrees): 4.5960 4.5960 3.3737 90.00 90.00 90.00
With the nearest neighbours (Å) after each atom.
Sites, in units of the cell vectors:
Fe1 0.0000 0.0000 0.0000  2 N 1.69
Mo1 0.5000 0.5000 0.5000  8 S 2.85
S1 0.0000 0.5000 0.0000  2 Fe 2.30
S2 0.5000 0.0000 0.0000  2 Fe 2.30
N1 0.0000 0.0000 0.5000  2 Fe 1.69

M_tot = 0.545 μB per atom
Crystal system = tetragonal
SG = No. 123

=====

*2*
FeMoS2N | PBE-GGA | relaxed

Lattice parameters (Å, degrees): 4.8152 4.8152 3.7640 90.00 90.00 90.00
With the nearest neighbours (Å) after each atom.
Sites, in units of the cell vectors:
Fe1 0.0000 0.0000 0.0000  8 S 3.06, 4 N 3.40
Mo1 0.5000 0.5000 0.5000  2 N 1.88
S1 0.0000 0.5000 0.5000  2 Mo 2.41
S2 0.5000 0.0000 0.5000  2 Mo 2.41
N1 0.5000 0.5000 0.0000  2 Mo 1.88

M_tot = 0.761 μB per atom
Crystal system = tetragonal
SG = No. 123

=====

Of them, *1* has the lowest stability.

=====

*1*
FeMoSeN2 | PBE-GGA | relaxed

Lattice parameters (Å, degrees): 3.8635 3.8635 5.3534 90.00 90.00 90.00
With the nearest neighbours (Å) after each atom.
Sites, in units of the cell vectors:
Fe1 0.0000 0.0000 0.0000  4 Se 2.73
Mo1 0.5000 0.5000 0.5000  4 N 1.93
Se1 0.5000 0.5000 0.0000  2 Mo 2.68, 4 Fe 2.73
N1 0.0000 0.5000 0.5000  2 Mo 1.93
N2 0.5000 0.0000 0.5000  2 Mo 1.93

M_tot = 0.707 μB per atom
Crystal system = tetragonal
SG = No. 123

=====

*2*
FeMoSeN2 | PBE-GGA | relaxed

Lattice parameters (Å, degrees): 3.6739 3.6739 4.9202 90.00 90.00 90.00
With the nearest neighbours (Å) after each atom.
Sites, in units of the cell vectors:
Fe1 0.0000 0.0000 0.0000  4 N 1.84
Mo1 0.5000 0.5000 0.5000  4 Se 2.60
Se1 0.0000 0.0000 0.5000  2 Fe 2.46, 4 Mo 2.60
N1 0.0000 0.5000 0.0000  2 Fe 1.84
N2 0.5000 0.0000 0.0000  2 Fe 1.84

M_tot = 0.478 μB per atom
Crystal system = tetragonal
SG = No. 123

=====

Of them, *2* has the lowest stability.

=====

*1*
FeMoSe2N | PBE-GGA | relaxed

Lattice parameters (Å, degrees): 4.8570 4.8570 3.3855 90.00 90.00 90.00
With the nearest neighbours (Å) after each atom.
Sites, in units of the cell vectors:
Fe1 0.0000 0.0000 0.0000  2 N 1.69
Mo1 0.5000 0.5000 0.5000  8 Se 2.96
Se1 0.0000 0.5000 0.0000  2 Fe 2.43
Se2 0.5000 0.0000 0.0000  2 Fe 2.43
N1 0.0000 0.0000 0.5000  2 Fe 1.69

M_tot = 0.557 μB per atom
Crystal system = tetragonal
SG = No. 123

=====

*2*
FeMoSe2N | PBE-GGA | relaxed

Lattice parameters (Å, degrees): 5.0739 5.0739 3.7626 90.00 90.00 90.00
With the nearest neighbours (Å) after each atom.
Sites, in units of the cell vectors:
Fe1 0.0000 0.0000 0.0000  8 Se 3.16
Mo1 0.5000 0.5000 0.5000  2 N 1.88
Se1 0.0000 0.5000 0.5000  2 Mo 2.54
Se2 0.5000 0.0000 0.5000  2 Mo 2.54
N1 0.5000 0.5000 0.0000  2 Mo 1.88

M_tot = 0.789 μB per atom
Crystal system = tetragonal
SG = No. 123

=====

Of them, *2* has the lowest stability.

=====

*1*
FeTe2MoN | PBE-GGA | relaxed

Lattice parameters (Å, degrees): 5.4250 5.4250 3.7798 90.00 90.00 90.00
With the nearest neighbours (Å) after each atom.
Sites, in units of the cell vectors:
Fe1 0.0000 0.0000 0.0000  8 Te 3.31
Te1 0.0000 0.5000 0.5000  2 Mo 2.71
Te2 0.5000 0.0000 0.5000  2 Mo 2.71
Mo1 0.5000 0.5000 0.5000  2 N 1.89
N1 0.5000 0.5000 0.0000  2 Mo 1.89

M_tot = 0.719 μB per atom
Crystal system = tetragonal
SG = No. 123

=====

*2*
FeTe2MoN | PBE-GGA | relaxed

Lattice parameters (Å, degrees): 5.2081 5.2081 3.4033 90.00 90.00 90.00
With the nearest neighbours (Å) after each atom.
Sites, in units of the cell vectors:
Fe1 0.0000 0.0000 0.0000  2 N 1.70
Te1 0.0000 0.5000 0.0000  2 Fe 2.60
Te2 0.5000 0.0000 0.0000  2 Fe 2.60
Mo1 0.5000 0.5000 0.5000  8 Te 3.11, 2 Mo 3.40
N1 0.0000 0.0000 0.5000  2 Fe 1.70

M_tot = 0.540 μB per atom
Crystal system = tetragonal
SG = No. 123

=====

Of them, *1* has the lowest stability.

=====

*1*
NaFeMo2 | PBE-GGA | relaxed

Lattice parameters (Å, degrees): 6.1544 6.1544 6.1544 90.00 90.00 90.00
With the nearest neighbours (Å) after each atom.
Sites, in units of the cell vectors:
Na1 0.0000 0.0000 0.0000  8 Mo 2.66
Na2 0.0000 0.5000 0.5000  8 Mo 2.66
Na3 0.5000 0.0000 0.5000  8 Mo 2.66
Na4 0.5000 0.5000 0.0000  8 Mo 2.66
Fe1 0.0000 0.0000 0.5000  8 Mo 2.66
Fe2 0.0000 0.5000 0.0000  8 Mo 2.66
Fe3 0.5000 0.0000 0.0000  8 Mo 2.66
Fe4 0.5000 0.5000 0.5000  8 Mo 2.66
Mo1 0.2500 0.2500 0.2500  4 Fe 2.66, 4 Na 2.66
Mo2 0.2500 0.2500 0.7500  4 Na 2.66, 4 Fe 2.66
Mo3 0.2500 0.7500 0.2500  4 Fe 2.66, 4 Na 2.66
Mo4 0.2500 0.7500 0.7500  4 Fe 2.66, 4 Na 2.66
Mo5 0.7500 0.2500 0.2500  4 Fe 2.66, 4 Na 2.66
Mo6 0.7500 0.2500 0.7500  4 Fe 2.66, 4 Na 2.66
Mo7 0.7500 0.7500 0.2500  4 Fe 2.66, 4 Na 2.66
Mo8 0.7500 0.7500 0.7500  4 Fe 2.66, 4 Na 2.66

M_tot = 0.000 μB per atom
Crystal system = cubic
SG = No. 225

=====

*2*
NaFeMo2 | PBE-GGA | relaxed

Lattice parameters (Å, degrees): 7.1294 7.1294 5.2910 90.00 90.00 90.00
With the nearest neighbours (Å) after each atom.
Sites, in units of the cell vectors:
Na1 0.0000 0.0000 0.0000  2 Fe 2.65, 4 Mo 2.92
Na2 0.0000 0.5000 0.2500  2 Fe 2.65, 4 Mo 2.92
Na3 0.5000 0.0000 0.7500  2 Fe 2.65, 4 Mo 2.92
Na4 0.5000 0.5000 0.5000  2 Fe 2.65, 4 Mo 2.92
Fe1 0.0000 0.0000 0.5000  4 Mo 2.33
Fe2 0.0000 0.5000 0.7500  4 Mo 2.33
Fe3 0.5000 0.0000 0.2500  4 Mo 2.33
Fe4 0.5000 0.5000 0.0000  4 Mo 2.33
Mo1 0.1890 0.2500 0.6250  2 Fe 2.33
Mo2 0.2500 0.6890 0.8750  2 Fe 2.33
Mo3 0.2500 0.8110 0.3750  2 Fe 2.33
Mo4 0.3110 0.2500 0.1250  2 Fe 2.33
Mo5 0.6890 0.7500 0.1250  2 Fe 2.33
Mo6 0.7500 0.1890 0.3750  2 Fe 2.33
Mo7 0.7500 0.3110 0.8750  2 Fe 2.33
Mo8 0.8110 0.7500 0.6250  2 Fe 2.33

M_tot = 0.000 μB per atom
Crystal system = tetragonal
SG = No. 122

=====

Of them, *2* has the lowest stability.

=====

*1*
Nb3FeMo | PBE-GGA | relaxed

Lattice parameters (Å, degrees): 4.7650 4.7650 4.7650 90.00 90.00 90.00
With the nearest neighbours (Å) after each atom.
Sites, in units of the cell vectors:
Nb1 0.0000 0.0000 0.5000  2 Mo 2.38
Nb2 0.0000 0.5000 0.0000  2 Mo 2.38
Nb3 0.5000 0.0000 0.0000  2 Mo 2.38
Fe1 0.5000 0.5000 0.5000  12 Nb 3.37
Mo1 0.0000 0.0000 0.0000  6 Nb 2.38

M_tot = 0.000 μB per atom
Crystal system = cubic
SG = No. 221

=====

*2*
Nb3FeMo | PBE-GGA | relaxed

Lattice parameters (Å, degrees): 4.5482 4.5482 4.5482 90.00 90.00 90.00
With the nearest neighbours (Å) after each atom.
Sites, in units of the cell vectors:
Nb1 0.0000 0.0000 0.5000  2 Fe 2.27
Nb2 0.0000 0.5000 0.0000  2 Fe 2.27
Nb3 0.5000 0.0000 0.0000  2 Fe 2.27
Fe1 0.0000 0.0000 0.0000  6 Nb 2.27
Mo1 0.5000 0.5000 0.5000  12 Nb 3.22

M_tot = 0.000 μB per atom
Crystal system = cubic
SG = No. 221

=====

Of them, *1* has the lowest stability.

=====

*1*
FeNi2Mo | PBE-GGA | relaxed

Lattice parameters (Å, degrees): 2.5930 2.5930 7.3656 90.00 90.00 90.00
With the nearest neighbours (Å) after each atom.
Sites, in units of the cell vectors:
Fe1 0.0000 0.0000 0.0000  8 Ni 2.52, 4 Fe 2.59
Ni1 0.5000 0.5000 0.2354  4 Fe 2.52, 4 Ni 2.59, 4 Mo 2.68
Ni2 0.5000 0.5000 0.7646  4 Fe 2.52, 4 Ni 2.59, 4 Mo 2.68
Mo1 0.0000 0.0000 0.5000  4 Mo 2.59, 8 Ni 2.68

M_tot = 0.918 μB per atom
Crystal system = tetragonal
SG = No. 123

=====

*2*
FeNi2Mo | PBE-GGA | relaxed

Lattice parameters (Å, degrees): 2.6111 2.6111 25.4402 90.00 90.00 120.00
With the nearest neighbours (Å) after each atom.
Sites, in units of the cell vectors:
Fe1 0.0000 0.0000 0.0000  6 Ni 2.53, 6 Fe 2.61
Fe2 0.3333 0.6667 0.6667  6 Ni 2.53, 6 Fe 2.61
Fe3 0.6667 0.3333 0.3333  6 Ni 2.53, 6 Fe 2.61
Ni1 0.0000 0.0000 0.2536  3 Fe 2.53, 6 Ni 2.61, 3 Mo 2.68
Ni2 0.0000 0.0000 0.7464  3 Fe 2.53, 6 Ni 2.61, 3 Mo 2.68
Ni3 0.3333 0.6667 0.4130  3 Fe 2.53, 6 Ni 2.61, 3 Mo 2.68
Ni4 0.3333 0.6667 0.9203  3 Fe 2.53, 6 Ni 2.61, 3 Mo 2.68
Ni5 0.6667 0.3333 0.0797  3 Fe 2.53, 6 Ni 2.61, 3 Mo 2.68
Ni6 0.6667 0.3333 0.5870  3 Fe 2.53, 6 Ni 2.61, 3 Mo 2.68
Mo1 0.0000 0.0000 0.5000  6 Mo 2.61, 6 Ni 2.68
Mo2 0.3333 0.6667 0.1667  6 Mo 2.61, 6 Ni 2.68
Mo3 0.6667 0.3333 0.8333  6 Mo 2.61, 6 Ni 2.68

M_tot = 0.776 μB per atom
Crystal system = trigonal
SG = No. 166

=====

Of them, *2* has the lowest stability.